1.
## Fe3CoH2 (PBE-GGA)

Data for a relaxed structure of Fe3CoH2.

a = 2.812 Å, b = 6.416 Å, c = 6.344 Å
α = 76.86°, β = 90.00°, γ = 102.66°
Atoms (fractional coordinates):
H1 0.560 0.120 0.397
H2 0.084 0.167 0.831
H3 0.440 0.880 0.603
H4 0.916 0.833 0.169
Fe1 0.663 0.327 0.988
Fe2 0.125 0.251 0.311
Fe3 0.221 0.443 0.664
Fe4 0.337 0.673 0.012
Fe5 0.875 0.749 0.689
Fe6 0.779 0.557 0.336
Co1 0.441 0.882 0.330
Co2 0.559 0.118 0.670

- space group = C2/m


2.
## Li2SnI4 (PBE-GGA)

Data for a relaxed structure of Li2SnI4.

a = 6.569 Å, b = 6.569 Å, c = 6.830 Å
α = 90.00°, β = 90.00°, γ = 90.00°
Atoms (fractional coordinates):
Li1 0.500 0.000 0.500
Li2 0.000 0.500 0.500
Sn1 0.000 0.000 0.000
I1 0.733 0.267 0.729
I2 0.733 0.733 0.271
I3 0.267 0.267 0.271
I4 0.267 0.733 0.729

- space group = P-42m
- energy relative to the elements, uncorrected (meV per atom) = -839


3.
## Sr2Sb2H4Pt (PBE-GGA)

Data for a relaxed structure of Sr2Sb2H4Pt.

a = 6.243 Å, b = 6.243 Å, c = 6.243 Å
α = 93.99°, β = 117.72°, γ = 117.72°
Atoms (fractional coordinates):
Sr1 0.500 0.250 0.750
Sr2 0.500 0.750 0.250
H1 0.000 0.183 0.817
H2 0.000 0.817 0.183
H3 0.366 0.183 0.183
H4 0.634 0.817 0.817
Pt1 0.000 0.000 0.000
Sb1 0.000 0.331 0.331
Sb2 0.000 0.669 0.669

- space group = I4/mmm


4.
## Ga3Pd2Rh (PBE-GGA)

Data for a relaxed structure of Ga3Pd2Rh.

a = 3.019 Å, b = 3.019 Å, c = 9.711 Å
α = 90.00°, β = 90.00°, γ = 90.00°
Atoms (fractional coordinates):
Pd1 0.500 0.500 0.829
Pd2 0.500 0.500 0.171
Ga1 0.000 0.000 0.000
Ga2 0.000 0.000 0.339
Ga3 0.000 0.000 0.661
Rh1 0.500 0.500 0.500

- ΔH_f (0 K) (eV per atom) = -0.5948
- space group = P4/mmm


5.
## TlCoTe2N (PBE-GGA)

Data for a relaxed structure of TlCoTe2N.

a = 5.889 Å, b = 5.889 Å, c = 4.178 Å
α = 90.00°, β = 90.00°, γ = 90.00°
Atoms (fractional coordinates):
Te1 0.000 0.500 0.000
Te2 0.500 0.000 0.000
N1 0.000 0.000 0.500
Tl1 0.000 0.000 0.000
Co1 0.500 0.500 0.500

- space group = P4/mmm
- energy relative to the elements, uncorrected (meV per atom) = 1656


6.
## ZrTaBi2S (PBE-GGA)

Data for a relaxed structure of ZrTaBi2S.

a = 5.408 Å, b = 4.474 Å, c = 5.408 Å
α = 90.00°, β = 90.00°, γ = 90.00°
Atoms (fractional coordinates):
S1 0.000 0.000 0.000
Bi1 0.000 0.000 0.500
Bi2 0.500 0.000 0.000
Zr1 0.500 0.500 0.500
Ta1 0.000 0.500 0.000

- space group = P4/mmm
- energy relative to the elements, uncorrected (meV per atom) = 544


Number 1: energy -6.377 eV/atom. Number 2: energy -2.843 eV/atom. Number 3: energy -3.800 eV/atom. Number 4: energy -5.064 eV/atom. Number 5: energy -3.161 eV/atom. Number 6: energy -5.914 eV/atom.